Entry 1:
The following is a DFT calculation (PBE) of an optimized crystal structure of AgAuSe.

DOS at the Fermi energy ... 1.03 states/eV/cell
Total magnetic moment ... 0.00 μB/atom
Uncorrected energy ... -3.145 eV per atom
E_form (uncorrected) ... 60 meV/atom

Unit cell a=3.696 b=5.382 c=7.719 alpha=74.41 beta=76.15 gamma=69.92
Fractional coordinates of all 6 atoms:
Au1 0.650 0.351 0.348
Au2 0.350 0.649 0.652
Se1 0.346 0.131 0.177
Se2 0.654 0.869 0.823
Ag1 0.941 0.768 0.350
Ag2 0.059 0.232 0.650


Entry 2:
The following is a DFT calculation (PBE) of an optimized crystal structure of Ac5ZnSn4.

DOS at the Fermi energy ... 7.90 states/eV/cell
Formation enthalpy at 0 K ... -533 meV per atom
Total magnetic moment ... 0.00 μB/atom
Uncorrected energy ... -4.316 eV per atom

Unit cell a=3.972 b=3.972 c=21.238 alpha=90.00 beta=90.00 gamma=90.00
Fractional coordinates of all 10 atoms:
Ac1 0.500 0.500 0.500
Ac2 0.500 0.500 0.909
Ac3 0.500 0.500 0.292
Ac4 0.500 0.500 0.708
Ac5 0.500 0.500 0.091
Sn1 0.000 0.000 0.189
Sn2 0.000 0.000 0.395
Sn3 0.000 0.000 0.811
Sn4 0.000 0.000 0.605
Zn1 0.000 0.000 0.000


no.,V (Å³ per cell)
1,137.1
2,335.0